LuFeCuAs: relaxed, PBE-GGA.

The volume is 16.32 A^3/atom. The calculation puts the total magnetization at 2.56 μB/cell. Its excess energy over the best structure of this formula in the dataset is 0 meV/atom.

Cell lengths 4.519, 4.519, 4.519 Å; angles 60.00, 60.00, 60.00 degrees
Positions (direct):
Fe (0.750, 0.750, 0.750)
Cu (0.500, 0.500, 0.500)
As (0.000, 0.000, 0.000)
Lu (0.250, 0.250, 0.250)